Entry 1:
16
Lattice="4.144 2.393 7.767 -4.144 2.393 7.767 0.000 -4.785 7.767" Properties=species:S:1:pos:R:3 comment="Er3Tl4InSe8 | the Alexandria database | PBE | optimized geometry" density_g_cm3=7.42 raw_formation_energy_ev_per_atom=-1.14 pbc="T T T"
Er -2.072 -1.196 7.767
Er -2.072 1.196 15.533
Er 0.000 2.393 7.767
Tl -4.144 0.000 11.650
Tl -2.072 1.196 3.883
Tl 2.072 1.196 3.883
Tl 0.000 0.000 11.650
In 0.000 0.000 0.000
Se 0.000 -2.412 9.336
Se -2.089 1.206 9.336
Se -2.089 -1.206 13.964
Se 0.000 0.000 6.193
Se 0.000 0.000 17.107
Se 2.089 1.206 9.336
Se 2.089 -1.206 13.964
Se 0.000 2.412 13.964

Entry 2:
14
Lattice="6.362 0.000 0.000 -3.181 5.509 0.000 0.000 0.000 3.571" Properties=species:S:1:pos:R:3 comment="TbH3O3 | the Alexandria database | PBE | optimized geometry" dft_energy_ev_per_atom=-6.185 density_g_cm3=5.57 pbc="T T T"
Tb 0.000 3.673 0.893
Tb 3.181 1.836 2.678
H 0.000 1.534 2.678
H -1.853 4.742 2.678
H 1.328 0.767 0.893
H 1.853 4.743 2.678
H 5.034 0.767 0.893
H 3.181 3.976 0.893
O -1.652 3.790 2.678
O 0.725 2.184 2.678
O 2.254 0.464 0.893
O 0.927 5.045 2.678
O 2.456 3.325 0.893
O 4.833 1.720 0.893

Entry 3:
13
Lattice="3.205 1.850 11.609 -3.205 1.850 11.609 0.000 -3.700 11.609" Properties=species:S:1:pos:R:3 comment="Tb8Er2In3 | the Alexandria database | PBE | optimized geometry" density_g_cm3=7.84 delta_e_f_mev_per_atom=130.3 pbc="T T T"
Tb 0.000 -1.853 13.453
Tb -1.605 0.927 13.453
Tb 0.000 0.000 7.809
Tb -1.605 -0.927 21.374
Tb 1.605 0.927 13.453
Tb 0.000 0.000 27.018
Tb 1.605 -0.927 21.374
Tb 0.000 1.853 21.374
Er 0.000 0.000 4.711
Er 0.000 0.000 30.115
In 0.000 0.000 10.819
In 0.000 0.000 17.413
In 0.000 0.000 24.008

Entry 4:
4
Lattice="1.668 0.963 12.309 -1.668 0.963 12.309 0.000 -1.926 12.309" Properties=species:S:1:pos:R:3 comment="CsSc2Be | the Alexandria database | PBE | optimized geometry" density_g_cm3=3.25 delta_e_f_mev_per_atom=1200.3 pbc="T T T"
Cs 0.000 0.000 0.000
Sc 0.000 0.000 15.751
Sc 0.000 0.000 21.177
Be 0.000 0.000 18.464

Entry 5:
4
Lattice="-1.818 2.706 5.605 1.818 -2.706 5.605 1.818 2.706 -5.605" Properties=species:S:1:pos:R:3 comment="CaYCd2 | the Alexandria database | PBE | optimized geometry" density_g_cm3=5.33 delta_e_f_mev_per_atom=-237.7 pbc="T T T"
Ca 0.000 0.000 0.000
Y 0.000 2.706 2.351
Cd 1.818 0.000 2.892
Cd 0.000 0.000 5.256

Entry 6:
9
Lattice="-4.876 4.876 2.273 4.876 -4.876 2.273 4.876 4.876 -2.273" Properties=species:S:1:pos:R:3 comment="Pa8Al | the Alexandria database | PBE | optimized geometry" density_g_cm3=14.41 delta_e_f_mev_per_atom=-51.9 pbc="T T T"
Pa 3.190 0.000 0.000
Pa 6.562 0.000 0.000
Pa 0.000 3.190 0.000
Pa 3.308 3.308 0.000
Pa 1.568 -1.568 2.273
Pa -1.568 1.568 2.273
Pa 1.568 1.568 2.273
Pa 0.000 6.562 0.000
Al 0.000 0.000 0.000

Entry 7:
4
Lattice="0.000 3.032 3.032 3.032 0.000 3.032 3.032 3.032 0.000" Properties=species:S:1:pos:R:3 comment="TaCCl2 | the Alexandria database | PBE | optimized geometry" density_g_cm3=7.86 raw_formation_energy_ev_per_atom=1.32 pbc="T T T"
Ta 0.000 0.000 0.000
C 3.032 3.032 3.032
Cl 1.516 1.516 1.516
Cl 4.547 4.547 4.547

Entry 8:
4
Lattice="1.606 0.927 8.119 -1.606 0.927 8.119 0.000 -1.854 8.119" Properties=species:S:1:pos:R:3 comment="SiTeW2 | the Alexandria database | PBE | optimized geometry" density_g_cm3=11.98 raw_formation_energy_ev_per_atom=0.45 pbc="T T T"
Si 0.000 0.000 0.000
Te 0.000 0.000 18.561
W 0.000 0.000 6.395
W 0.000 0.000 12.487

Entry 9:
18
Lattice="1.940 -8.393 0.000 1.940 8.393 0.000 0.000 0.000 11.557" Properties=species:S:1:pos:R:3 comment="Sm2HoCuS5 | the Alexandria database | PBE | optimized geometry" density_g_cm3=6.08 raw_formation_energy_ev_per_atom=-1.74 pbc="T T T"
Sm 1.940 6.582 5.778
Sm 1.940 6.352 1.434
Sm 1.940 -6.352 7.212
Sm 1.940 -6.582 0.000
Ho 1.940 5.122 9.529
Ho 1.940 -5.122 3.751
Cu 1.940 0.974 3.112
Cu 1.940 -0.974 8.890
S 1.940 7.673 10.117
S 1.940 3.543 5.650
S 1.940 3.109 1.868
S 1.940 2.395 9.429
S 1.940 0.029 6.853
S 1.940 -0.029 1.074
S 1.940 -2.395 3.651
S 1.940 -3.109 7.647
S 1.940 -3.543 11.428
S 1.940 -7.673 4.338

Entry 10:
8
Lattice="-2.051 2.051 7.196 2.051 -2.051 7.196 2.051 2.051 -7.196" Properties=species:S:1:pos:R:3 comment="SiNi2Se | the Alexandria database | PBE | optimized geometry" density_g_cm3=6.16 raw_formation_energy_ev_per_atom=-0.06 pbc="T T T"
Si 0.000 0.000 0.000
Si 0.000 2.051 3.598
Ni 3.076 0.948 -1.799
Ni 0.948 1.025 1.799
Ni -1.025 1.103 5.397
Ni 1.103 1.025 8.996
Se 2.051 0.000 3.598
Se 0.000 0.000 7.196

Please write out number 7 again, unchanged.
4
Lattice="0.000 3.032 3.032 3.032 0.000 3.032 3.032 3.032 0.000" Properties=species:S:1:pos:R:3 comment="TaCCl2 | the Alexandria database | PBE | optimized geometry" density_g_cm3=7.86 raw_formation_energy_ev_per_atom=1.32 pbc="T T T"
Ta 0.000 0.000 0.000
C 3.032 3.032 3.032
Cl 1.516 1.516 1.516
Cl 4.547 4.547 4.547

Copy entry 4 word for word.
4
Lattice="1.668 0.963 12.309 -1.668 0.963 12.309 0.000 -1.926 12.309" Properties=species:S:1:pos:R:3 comment="CsSc2Be | the Alexandria database | PBE | optimized geometry" density_g_cm3=3.25 delta_e_f_mev_per_atom=1200.3 pbc="T T T"
Cs 0.000 0.000 0.000
Sc 0.000 0.000 15.751
Sc 0.000 0.000 21.177
Be 0.000 0.000 18.464

Repeat the fourth record exactly.
4
Lattice="1.668 0.963 12.309 -1.668 0.963 12.309 0.000 -1.926 12.309" Properties=species:S:1:pos:R:3 comment="CsSc2Be | the Alexandria database | PBE | optimized geometry" density_g_cm3=3.25 delta_e_f_mev_per_atom=1200.3 pbc="T T T"
Cs 0.000 0.000 0.000
Sc 0.000 0.000 15.751
Sc 0.000 0.000 21.177
Be 0.000 0.000 18.464